Here is a relaxed structure of Zr2HgMo from the Alexandria database. Energies are from PBE-GGA.

Computed properties:
**Volume**: 80.8 Å³ per cell
**Formation energy**: 111.7 meV/atom
**Theoretical density**: 9.844 g/cm3

Cell and atoms, written as POSCAR:
```
Zr2HgMo
1.0
-0.696 0.960 3.363
-3.008 -1.913 -0.077
3.178 -5.081 2.108
Zr Hg Mo
2 1 1
Direct
0.500 0.500 0.254
0.000 0.000 0.977
0.000 0.000 0.507
0.500 0.500 0.762
```

Here is a relaxed structure of ZrHg2Mo from the Alexandria database. Energies are from PBE-GGA.

Computed properties:
**Volume**: 79.3 Å³ per cell
**Formation energy**: 276.8 meV/atom
**E above lowest polymorph**: 107 meV/atom
**Theoretical density**: 12.321 g/cm3

Cell and atoms, written as POSCAR:
```
ZrHg2Mo
1.0
-2.952 3.636 -2.683
-1.761 -1.780 -4.782
-0.100 -1.969 5.025
Hg Mo Zr
2 1 1
Direct
0.000 0.000 0.000
0.250 0.750 0.500
0.500 0.500 0.000
0.750 0.250 0.500
```

Here is a relaxed structure of ZrHg2Mo from the Alexandria database. Energies are from PBE-GGA.

Computed properties:
**Volume**: 81.0 Å³ per cell
**Formation energy**: 256.8 meV/atom
**E above lowest polymorph**: 87 meV/atom
**Theoretical density**: 12.066 g/cm3

Cell and atoms, written as POSCAR:
```
ZrHg2Mo
1.0
-2.587 1.182 -0.777
-0.458 -2.233 -1.871
-4.228 -4.801 6.767
Mo Hg Zr
1 2 1
Direct
0.000 0.000 0.499
0.000 0.000 0.996
0.500 0.500 0.265
0.500 0.500 0.740
```